(1)
First-principles (SCAN) data for a crystal of MgFeRu2 relaxed with PBEsol, as listed in Alexandria.

**Calculated volume**: 13.69 Å³/atom
**ρ**: 8.6 g/cm3
**D(E_F)**: 1.02 states/eV per atom
**E_form**: 0.14 eV/atom

abc: 2.674 4.178 4.986
angles: 90.00 100.62 90.00
Space group P2/m (No. 10)
Inequivalent atoms, fractional coordinates:
Mg (0.000, 0.000, 0.000) x1
Fe (0.500, 0.000, 0.500) x1
Ru (0.316, 0.500, 0.735) x2

(2)
First-principles (SCAN) data for a crystal of Mg2FeRu relaxed with PBEsol, as listed in Alexandria.

**Calculated volume**: 15.81 Å³/atom
**ρ**: 5.4 g/cm3
**D(E_F)**: 0.63 states/eV per atom
**Polymorph energy (0 for the lowest one)**: 0.0 meV/atom
**E_form**: 0.02 eV/atom

abc: 2.956 2.956 7.237
angles: 90.00 90.00 90.00
Space group P4mm (No. 99)
Inequivalent atoms, fractional coordinates:
Mg (0.000, 0.000, 0.000) x1
Mg (0.500, 0.500, 0.338) x1
Fe (0.500, 0.500, 0.761) x1
Ru (0.000, 0.000, 0.588) x1

(3)
First-principles (SCAN) data for a crystal of MgFeRu2 relaxed with PBEsol, as listed in Alexandria.

**Calculated volume**: 13.71 Å³/atom
**ρ**: 8.5 g/cm3
**D(E_F)**: 0.76 states/eV per atom
**E_form**: 0.11 eV/atom

abc: 9.235 2.751 4.529
angles: 90.00 107.54 90.00
Space group C2/m (No. 12)
Inequivalent atoms, fractional coordinates:
Mg (0.000, 0.000, 0.000) x2
Fe (0.000, 0.500, 0.500) x2
Ru (0.225, 0.000, 0.721) x4

(4)
First-principles (SCAN) data for a crystal of Mg2FeRu relaxed with PBEsol, as listed in Alexandria.

**Calculated volume**: 14.85 Å³/atom
**ρ**: 5.7 g/cm3
**D(E_F)**: 0.43 states/eV per atom
**Polymorph energy (0 for the lowest one)**: 128.4 meV/atom
**E_form**: 0.15 eV/atom

abc: 6.193 6.193 6.193
angles: 90.00 90.00 90.00
Space group Fm-3m (No. 225)
Inequivalent atoms, fractional coordinates:
Mg (0.250, 0.250, 0.250) x8
Fe (0.000, 0.000, 0.000) x4
Ru (0.000, 0.000, 0.500) x4

(5)
First-principles (SCAN) data for a crystal of Mg2FeRu relaxed with PBEsol, as listed in Alexandria.

**Calculated volume**: 15.35 Å³/atom
**ρ**: 5.6 g/cm3
**D(E_F)**: 0.65 states/eV per atom
**Polymorph energy (0 for the lowest one)**: 52.1 meV/atom
**E_form**: 0.07 eV/atom

abc: 3.078 4.487 8.892
angles: 90.00 90.00 90.00
Space group Imm2 (No. 44)
Inequivalent atoms, fractional coordinates:
Mg (0.000, 0.000, 0.000) x2
Mg (0.000, 0.500, 0.222) x2
Fe (0.000, 0.000, 0.463) x2
Ru (0.000, 0.500, 0.760) x2

(6)
First-principles (SCAN) data for a crystal of MgFeRu2 relaxed with PBEsol, as listed in Alexandria.

**Calculated volume**: 13.75 Å³/atom
**ρ**: 8.5 g/cm3
**D(E_F)**: 0.86 states/eV per atom
**E_form**: 0.12 eV/atom

abc: 2.795 4.426 8.894
angles: 90.00 90.00 90.00
Space group Immm (No. 71)
Inequivalent atoms, fractional coordinates:
Mg (0.000, 0.000, 0.000) x2
Fe (0.000, 0.000, 0.500) x2
Ru (0.000, 0.500, 0.222) x4

(7)
First-principles (SCAN) data for a crystal of MgFeRu2 relaxed with PBEsol, as listed in Alexandria.

**Calculated volume**: 13.56 Å³/atom
**ρ**: 8.6 g/cm3
**D(E_F)**: 0.96 states/eV per atom
**E_form**: 0.15 eV/atom

abc: 2.7028 2.7028 25.7218
angles: 90.00 90.00 120.00
Space group R-3m (No. 166, hexagonal axes)
Inequivalent atoms, fractional coordinates:
Mg (0.0000, 0.0000, 0.0000) x3
Fe (0.0000, 0.0000, 0.5000) x3
Ru (0.0000, 0.0000, 0.2436) x6

(8)
First-principles (SCAN) data for a crystal of Mg3FeS relaxed with PBEsol, as listed in Alexandria.

**Calculated volume**: 21.32 Å³/atom
**Energy relative to the elements, uncorrected**: 0.20 eV per atom
**ρ**: 2.5 g/cm3
**D(E_F)**: 1.75 states/eV per atom

abc: 4.742 4.742 4.742
angles: 90.00 90.00 90.00
Space group Pm-3m (No. 221)
Inequivalent atoms, fractional coordinates:
Mg (0.000, 0.000, 0.500) x3
Fe (0.500, 0.500, 0.500) x1
S (0.000, 0.000, 0.000) x1

(9)
First-principles (SCAN) data for a crystal of MgFe3S relaxed with PBEsol, as listed in Alexandria.

**Calculated volume**: 17.29 Å³/atom
**Energy relative to the elements, uncorrected**: 1.57 eV per atom
**ρ**: 4.3 g/cm3
**D(E_F)**: 0.73 states/eV per atom

abc: 4.422 4.422 4.422
angles: 90.00 90.00 90.00
Space group Pm-3m (No. 221)
Inequivalent atoms, fractional coordinates:
Mg (0.000, 0.000, 0.000) x1
Fe (0.000, 0.000, 0.500) x3
S (0.500, 0.500, 0.500) x1

(10)
First-principles (SCAN) data for a crystal of MgFeS3 relaxed with PBEsol, as listed in Alexandria.

**Calculated volume**: 17.80 Å³/atom
**Energy relative to the elements, uncorrected**: -0.16 eV per atom
**ρ**: 3.3 g/cm3
**D(E_F)**: 0.65 states/eV per atom

abc: 4.465 4.465 4.465
angles: 90.00 90.00 90.00
Space group Pm-3m (No. 221)
Inequivalent atoms, fractional coordinates:
Mg (0.000, 0.000, 0.000) x1
Fe (0.500, 0.500, 0.500) x1
S (0.000, 0.500, 0.500) x3

(11)
First-principles (SCAN) data for a crystal of MgFe2Sb relaxed with PBEsol, as listed in Alexandria.

**Calculated volume**: 14.15 Å³/atom
**Energy relative to the elements, uncorrected**: 0.45 eV per atom
**ρ**: 7.6 g/cm3
**D(E_F)**: 1.00 states/eV per atom

abc: 3.080 3.080 5.964
angles: 90.00 90.00 90.00
Space group P4/mmm (No. 123)
Inequivalent atoms, fractional coordinates:
Mg (0.000, 0.000, 0.000) x1
Fe (0.500, 0.500, 0.269) x2
Sb (0.000, 0.000, 0.500) x1

(12)
First-principles (SCAN) data for a crystal of Mg2FeSb relaxed with PBEsol, as listed in Alexandria.

**Calculated volume**: 19.48 Å³/atom
**Energy relative to the elements, uncorrected**: 0.21 eV per atom
**ρ**: 4.8 g/cm3
**D(E_F)**: 0.45 states/eV per atom
**Polymorph energy (0 for the lowest one)**: 82.9 meV/atom

abc: 3.1127 3.1127 27.8623
angles: 90.00 90.00 120.00
Space group R-3m (No. 166, hexagonal axes)
Inequivalent atoms, fractional coordinates:
Mg (0.0000, 0.0000, 0.2393) x6
Fe (0.0000, 0.0000, 0.5000) x3
Sb (0.0000, 0.0000, 0.0000) x3

(13)
First-principles (SCAN) data for a crystal of Mg2FeSb relaxed with PBEsol, as listed in Alexandria.

**Calculated volume**: 18.91 Å³/atom
**Energy relative to the elements, uncorrected**: 0.13 eV per atom
**ρ**: 5.0 g/cm3
**D(E_F)**: 0.41 states/eV per atom
**Polymorph energy (0 for the lowest one)**: 0.0 meV/atom

abc: 5.690 8.359 3.180
angles: 90.00 90.00 90.00
Space group Cmmm (No. 65)
Inequivalent atoms, fractional coordinates:
Mg (0.250, 0.250, 0.000) x4
Fe (0.000, 0.000, 0.500) x2
Sb (0.000, 0.500, 0.500) x2

(14)
First-principles (SCAN) data for a crystal of MgFe2Sb relaxed with PBEsol, as listed in Alexandria.

**Calculated volume**: 16.35 Å³/atom
**Energy relative to the elements, uncorrected**: 0.13 eV per atom
**ρ**: 6.5 g/cm3
**D(E_F)**: 0.81 states/eV per atom

abc: 3.118 3.118 6.729
angles: 90.00 90.00 90.00
Space group P4mm (No. 99)
Inequivalent atoms, fractional coordinates:
Mg (0.000, 0.000, 0.000) x1
Fe (0.000, 0.000, 0.590) x1
Fe (0.500, 0.500, 0.760) x1
Sb (0.500, 0.500, 0.359) x1

(15)
First-principles (SCAN) data for a crystal of MgScFe2 relaxed with PBEsol, as listed in Alexandria.

**Calculated volume**: 16.00 Å³/atom
**ρ**: 4.7 g/cm3
**D(E_F)**: 0.54 states/eV per atom
**E_form**: 0.02 eV/atom

abc: 3.021 3.021 7.011
angles: 90.00 90.00 90.00
Space group P4mm (No. 99)
Inequivalent atoms, fractional coordinates:
Mg (0.000, 0.000, 0.000) x1
Sc (0.500, 0.500, 0.356) x1
Fe (0.000, 0.000, 0.594) x1
Fe (0.500, 0.500, 0.753) x1

(16)
First-principles (SCAN) data for a crystal of MgScFe2 relaxed with PBEsol, as listed in Alexandria.

**Calculated volume**: 14.87 Å³/atom
**ρ**: 5.1 g/cm3
**D(E_F)**: 0.99 states/eV per atom
**E_form**: 0.21 eV/atom

abc: 4.061 4.061 7.214
angles: 90.00 90.00 90.00
Space group I4/mmm (No. 139)
Inequivalent atoms, fractional coordinates:
Mg (0.000, 0.000, 0.000) x2
Sc (0.000, 0.000, 0.500) x2
Fe (0.000, 0.500, 0.250) x4

(17)
First-principles (SCAN) data for a crystal of MgFe2Se relaxed with PBEsol, as listed in Alexandria.

**Calculated volume**: 14.23 Å³/atom
**Energy relative to the elements, uncorrected**: 0.21 eV per atom
**ρ**: 6.3 g/cm3
**D(E_F)**: 0.73 states/eV per atom
**Polymorph energy (0 for the lowest one)**: 0.0 meV/atom

abc: 3.192 3.192 5.588
angles: 90.00 90.00 90.00
Space group P4/mmm (No. 123)
Inequivalent atoms, fractional coordinates:
Mg (0.000, 0.000, 0.000) x1
Fe (0.500, 0.500, 0.286) x2
Se (0.000, 0.000, 0.500) x1

(18)
First-principles (SCAN) data for a crystal of MgFe2Se relaxed with PBEsol, as listed in Alexandria.

**Calculated volume**: 14.54 Å³/atom
**Energy relative to the elements, uncorrected**: 0.30 eV per atom
**ρ**: 6.1 g/cm3
**D(E_F)**: 0.58 states/eV per atom
**Polymorph energy (0 for the lowest one)**: 95.6 meV/atom

abc: 2.9077 2.9077 23.8247
angles: 90.00 90.00 120.00
Space group R-3m (No. 166, hexagonal axes)
Inequivalent atoms, fractional coordinates:
Mg (0.0000, 0.0000, 0.0000) x3
Fe (0.0000, 0.0000, 0.2412) x6
Se (0.0000, 0.0000, 0.5000) x3

(19)
First-principles (SCAN) data for a crystal of MgFeSi2 relaxed with PBEsol, as listed in Alexandria.

**Calculated volume**: 13.79 Å³/atom
**Energy relative to the elements, uncorrected**: 0.07 eV per atom
**ρ**: 4.1 g/cm3
**D(E_F)**: 0.48 states/eV per atom

abc: 3.015 3.015 6.067
angles: 90.00 90.00 90.00
Space group P4mm (No. 99)
Inequivalent atoms, fractional coordinates:
Mg (0.000, 0.000, 0.000) x1
Fe (0.500, 0.500, 0.691) x1
Si (0.000, 0.000, 0.548) x1
Si (0.500, 0.500, 0.306) x1

(20)
First-principles (SCAN) data for a crystal of MgFe2Si relaxed with PBEsol, as listed in Alexandria.

**Calculated volume**: 11.51 Å³/atom
**Energy relative to the elements, uncorrected**: 0.13 eV per atom
**ρ**: 5.9 g/cm3
**D(E_F)**: 0.80 states/eV per atom

abc: 4.000 4.000 2.878
angles: 90.00 90.00 90.00
Space group P4/mmm (No. 123)
Inequivalent atoms, fractional coordinates:
Mg (0.000, 0.000, 0.000) x1
Fe (0.000, 0.500, 0.500) x2
Si (0.500, 0.500, 0.000) x1

(21)
First-principles (SCAN) data for a crystal of MgFeSi relaxed with PBEsol, as listed in Alexandria.

**Calculated volume**: 13.24 Å³/atom
**Energy relative to the elements, uncorrected**: -0.09 eV per atom
**ρ**: 4.5 g/cm3
**D(E_F)**: 0.08 states/eV per atom

abc: 2.931 2.931 9.241
angles: 90.00 90.00 90.00
Space group I4mm (No. 107)
Inequivalent atoms, fractional coordinates:
Mg (0.000, 0.000, 0.000) x2
Fe (0.000, 0.000, 0.310) x2
Si (0.000, 0.000, 0.704) x2

(22)
First-principles (SCAN) data for a crystal of MgFe2Si relaxed with PBEsol, as listed in Alexandria.

**Calculated volume**: 12.71 Å³/atom
**Energy relative to the elements, uncorrected**: 0.12 eV per atom
**ρ**: 5.4 g/cm3
**D(E_F)**: 0.60 states/eV per atom

abc: 2.6919 2.6919 24.3098
angles: 90.00 90.00 120.00
Space group R-3m (No. 166, hexagonal axes)
Inequivalent atoms, fractional coordinates:
Mg (0.0000, 0.0000, 0.0000) x3
Fe (0.0000, 0.0000, 0.2420) x6
Si (0.0000, 0.0000, 0.5000) x3

(23)
First-principles (SCAN) data for a crystal of Mg2FeSi relaxed with PBEsol, as listed in Alexandria.

**Calculated volume**: 15.45 Å³/atom
**Energy relative to the elements, uncorrected**: 0.18 eV per atom
**ρ**: 3.6 g/cm3
**D(E_F)**: 0.51 states/eV per atom

abc: 2.912 3.906 5.431
angles: 90.00 90.00 90.00
Space group Pmmm (No. 47)
Inequivalent atoms, fractional coordinates:
Mg (0.000, 0.000, 0.243) x2
Fe (0.500, 0.500, 0.000) x1
Si (0.500, 0.500, 0.500) x1

(24)
First-principles (SCAN) data for a crystal of Mg2FeSi relaxed with PBEsol, as listed in Alexandria.

**Calculated volume**: 15.63 Å³/atom
**Energy relative to the elements, uncorrected**: 0.20 eV per atom
**ρ**: 3.5 g/cm3
**D(E_F)**: 0.38 states/eV per atom

abc: 2.753 2.753 8.247
angles: 90.00 90.00 90.00
Space group P4/mmm (No. 123)
Inequivalent atoms, fractional coordinates:
Mg (0.000, 0.000, 0.233) x2
Fe (0.500, 0.500, 0.000) x1
Si (0.500, 0.500, 0.500) x1

(25)
First-principles (SCAN) data for a crystal of MgFeSi relaxed with PBEsol, as listed in Alexandria.

**Calculated volume**: 14.83 Å³/atom
**Energy relative to the elements, uncorrected**: 0.23 eV per atom
**ρ**: 4.0 g/cm3
**D(E_F)**: 0.73 states/eV per atom

abc: 5.625 5.625 5.625
angles: 90.00 90.00 90.00
Space group F-43m (No. 216)
Inequivalent atoms, fractional coordinates:
Mg (0.000, 0.000, 0.000) x4
Fe (0.250, 0.250, 0.250) x4
Si (0.000, 0.000, 0.500) x4

(26)
First-principles (SCAN) data for a crystal of Sr2MgFe relaxed with PBEsol, as listed in Alexandria.

**Calculated volume**: 29.76 Å³/atom
**ρ**: 3.6 g/cm3
**D(E_F)**: 1.12 states/eV per atom
**E_form**: 0.39 eV/atom

abc: 3.683 5.579 11.589
angles: 90.00 90.00 90.00
Space group Imm2 (No. 44)
Inequivalent atoms, fractional coordinates:
Sr (0.000, 0.000, 0.000) x2
Sr (0.000, 0.500, 0.198) x2
Mg (0.000, 0.000, 0.405) x2
Fe (0.000, 0.500, 0.735) x2

(27)
First-principles (SCAN) data for a crystal of SrMgFe2 relaxed with PBEsol, as listed in Alexandria.

**Calculated volume**: 19.75 Å³/atom
**ρ**: 4.7 g/cm3
**D(E_F)**: 0.75 states/eV per atom
**E_form**: 0.33 eV/atom

abc: 3.191 3.191 7.759
angles: 90.00 90.00 90.00
Space group P4mm (No. 99)
Inequivalent atoms, fractional coordinates:
Sr (0.000, 0.000, 0.000) x1
Mg (0.500, 0.500, 0.370) x1
Fe (0.000, 0.000, 0.597) x1
Fe (0.500, 0.500, 0.709) x1

(28)
First-principles (SCAN) data for a crystal of SrMgFe2 relaxed with PBEsol, as listed in Alexandria.

**Calculated volume**: 18.41 Å³/atom
**ρ**: 5.0 g/cm3
**D(E_F)**: 0.89 states/eV per atom
**E_form**: 0.90 eV/atom

abc: 3.0013 3.0013 28.3211
angles: 90.00 90.00 120.00
Space group R-3m (No. 166, hexagonal axes)
Inequivalent atoms, fractional coordinates:
Sr (0.0000, 0.0000, 0.0000) x3
Mg (0.0000, 0.0000, 0.5000) x3
Fe (0.0000, 0.0000, 0.2435) x6

(29)
First-principles (SCAN) data for a crystal of SrMg2Fe relaxed with PBEsol, as listed in Alexandria.

**Calculated volume**: 23.34 Å³/atom
**ρ**: 3.4 g/cm3
**D(E_F)**: 0.70 states/eV per atom
**E_form**: 0.54 eV/atom

abc: 3.2810 3.2810 30.0439
angles: 90.00 90.00 120.00
Space group R-3m (No. 166, hexagonal axes)
Inequivalent atoms, fractional coordinates:
Sr (0.0000, 0.0000, 0.0000) x3
Mg (0.0000, 0.0000, 0.2328) x6
Fe (0.0000, 0.0000, 0.5000) x3

(30)
First-principles (SCAN) data for a crystal of SrMg2Fe relaxed with PBEsol, as listed in Alexandria.

**Calculated volume**: 23.69 Å³/atom
**ρ**: 3.4 g/cm3
**D(E_F)**: 0.94 states/eV per atom
**E_form**: 0.40 eV/atom

abc: 7.237 7.237 7.237
angles: 90.00 90.00 90.00
Space group F-43m (No. 216)
Inequivalent atoms, fractional coordinates:
Sr (0.000, 0.000, 0.000) x4
Mg (0.000, 0.000, 0.500) x4
Mg (0.250, 0.250, 0.750) x4
Fe (0.250, 0.250, 0.250) x4

(31)
First-principles (SCAN) data for a crystal of Sr2MgFe relaxed with PBEsol, as listed in Alexandria.

**Calculated volume**: 28.76 Å³/atom
**ρ**: 3.7 g/cm3
**D(E_F)**: 1.53 states/eV per atom
**E_form**: 0.53 eV/atom

abc: 4.869 4.869 9.702
angles: 90.00 90.00 90.00
Space group I-4m2 (No. 119)
Inequivalent atoms, fractional coordinates:
Sr (0.000, 0.000, 0.000) x2
Sr (0.000, 0.500, 0.250) x2
Mg (0.000, 0.500, 0.750) x2
Fe (0.000, 0.000, 0.500) x2